Record 1
A geometry-optimized Tb2Tm8Zr structure, computed with GGA-PBE.

As for the density of states at the Fermi level: 1.5077 states/eV/atom. The energy above the most stable polymorph in this dataset comes out at 0.078 eV/atom. For the formation energy, the calculation gives 117 meV per atom. The total magnetic moment comes out at 0.000 μB per cell.

It has space group C2/m (No. 12), with a = 17.272 Å, b = 5.367 Å, c = 7.972 Å, α = 90.00°, β = 116.54° and γ = 90.00°. The inequivalent atoms are Tb at (0.201, 0.000, 0.175), Tm at (0.010, 0.000, 0.224), Tm at (0.122, 0.500, 0.926), Tm at (0.148, 0.500, 0.375), Tm at (0.158, 0.000, 0.683) and Zr at (0.000, 0.500, 0.500).

=====

Record 2
A geometry-optimized Tb2TmZr structure, computed with GGA-PBE.

As for the density of states at the Fermi level: 1.7556 states/eV/atom. The energy above the most stable polymorph in this dataset comes out at 0.087 eV/atom. For the formation energy, the calculation gives 167 meV per atom. The total magnetic moment comes out at 0.000 μB per cell.

It has space group P4/mmm (No. 123), with a = 4.018 Å, b = 4.018 Å, c = 7.150 Å, α = 90.00°, β = 90.00° and γ = 90.00°. The inequivalent atoms are Tb at (0.000, 0.000, 0.228), Tm at (0.500, 0.500, 0.500) and Zr at (0.500, 0.500, 0.000).

=====

Record 3
A geometry-optimized Tb8Tm4Zr structure, computed with GGA-PBE.

As for the density of states at the Fermi level: 1.2046 states/eV/atom. For the formation energy, the calculation gives 206 meV per atom. The total magnetic moment comes out at 0.724 μB per cell.

It has space group C2/m (No. 12), with a = 12.471 Å, b = 7.198 Å, c = 9.960 Å, α = 90.00°, β = 114.71° and γ = 90.00°. The inequivalent atoms are Tb at (0.025, 0.229, 0.304), Tb at (0.216, 0.000, 0.649), Tb at (0.247, 0.500, 0.696), Tm at (0.000, 0.000, 0.000), Tm at (0.000, 0.500, 0.000), Tm at (0.250, 0.250, 0.000) and Zr at (0.000, 0.500, 0.500).